Record 1
DFT (PBE-GGA) results for crystalline Sr2In2Rh3 at its relaxed geometry.

```
data_Sr2In2Rh3
_chemical_formula_sum 'Sr4 In4 Rh6'
_cell_length_a 11.6947
_cell_length_b 4.4053
_cell_length_c 7.2175
_cell_angle_alpha 90.00
_cell_angle_beta 120.41
_cell_angle_gamma 90.00
_symmetry_space_group_name_H-M 'C 1 2/m 1'
_symmetry_Int_Tables_number 12
loop_
_symmetry_equiv_pos_as_xyz
'x,y,z'
'-x,-y,-z'
'-x,y,-z'
'x,-y,z'
'x+1/2,y+1/2,z'
'-x+1/2,-y+1/2,-z'
'-x+1/2,y+1/2,-z'
'x+1/2,-y+1/2,z'
loop_
_atom_site_label
_atom_site_type_symbol
_atom_site_fract_x
_atom_site_fract_y
_atom_site_fract_z
Sr1 Sr 0.1500 0.0000 0.2741
In1 In 0.1443 0.0000 0.7670
Rh1 Rh 0.0000 0.5000 0.5000
Rh2 Rh 0.0825 0.5000 0.9326
```

Record 2
# SrIn8Rh2 PBE-GGA optimized geometry
data_SrIn8Rh2
_chemical_formula_sum 'Sr4 In32 Rh8'
_cell_length_a 14.1160
_cell_length_b 16.3833
_cell_length_c 4.4263
_cell_angle_alpha 90.00
_cell_angle_beta 90.00
_cell_angle_gamma 90.00
_symmetry_space_group_name_H-M 'P b a m'
_symmetry_Int_Tables_number 55
loop_
_symmetry_equiv_pos_as_xyz
'x,y,z'
'-x,-y,-z'
'-x,-y,z'
'x,y,-z'
'x+1/2,-y+1/2,-z'
'-x+1/2,y+1/2,z'
'-x+1/2,y+1/2,-z'
'x+1/2,-y+1/2,z'
loop_
_atom_site_label
_atom_site_type_symbol
_atom_site_fract_x
_atom_site_fract_y
_atom_site_fract_z
Sr1 Sr 0.1571 0.1803 0.0000
In1 In 0.0000 0.0000 0.0000
In2 In 0.0000 0.5000 0.5000
In3 In 0.0207 0.8662 0.5000
In4 In 0.0505 0.3165 0.5000
In5 In 0.1011 0.7463 0.0000
In6 In 0.1600 0.4558 0.0000
In7 In 0.1666 0.6221 0.5000
In8 In 0.1702 0.0112 0.5000
In9 In 0.2403 0.8230 0.5000
Rh1 Rh 0.0341 0.5951 0.0000
Rh2 Rh 0.1540 0.9035 0.0000
# Energy above the most stable polymorph in this dataset (meV/atom): 0

Record 3
DFT (PBE-GGA) results for crystalline SrInRh2 at its relaxed geometry.

```
data_SrInRh2
_chemical_formula_sum 'Sr3 In3 Rh6'
_cell_length_a 4.6452
_cell_length_b 4.6452
_cell_length_c 15.7846
_cell_angle_alpha 90.00
_cell_angle_beta 90.00
_cell_angle_gamma 120.00
_symmetry_space_group_name_H-M 'R -3 m'
_symmetry_Int_Tables_number 166
_symmetry_space_group_name_Hall '-R 3 2"'
loop_
_atom_site_label
_atom_site_type_symbol
_atom_site_fract_x
_atom_site_fract_y
_atom_site_fract_z
Sr1 Sr 0.0000 0.0000 0.0000
In1 In 0.0000 0.0000 0.5000
Rh1 Rh 0.0000 0.0000 0.1856
```

Record 4
DFT (PBE-GGA) results for crystalline Sr4In3Rh2 at its relaxed geometry.

```
data_Sr4In3Rh2
_chemical_formula_sum 'Sr8 In6 Rh4'
_cell_length_a 17.4890
_cell_length_b 4.1962
_cell_length_c 8.0256
_cell_angle_alpha 90.00
_cell_angle_beta 111.74
_cell_angle_gamma 90.00
_symmetry_space_group_name_H-M 'C 1 2/m 1'
_symmetry_Int_Tables_number 12
loop_
_symmetry_equiv_pos_as_xyz
'x,y,z'
'-x,-y,-z'
'-x,y,-z'
'x,-y,z'
'x+1/2,y+1/2,z'
'-x+1/2,-y+1/2,-z'
'-x+1/2,y+1/2,-z'
'x+1/2,-y+1/2,z'
loop_
_atom_site_label
_atom_site_type_symbol
_atom_site_fract_x
_atom_site_fract_y
_atom_site_fract_z
Sr1 Sr 0.0748 0.0000 0.3701
Sr2 Sr 0.2238 0.5000 0.1794
In1 In 0.0000 0.5000 0.0000
In2 In 0.1026 0.5000 0.7295
Rh1 Rh 0.0898 0.0000 0.9472
```

Record 5
DFT (PBE-GGA) results for crystalline Sr2InRh at its relaxed geometry.

```
data_Sr2InRh
_chemical_formula_sum 'Sr6 In3 Rh3'
_cell_length_a 3.8991
_cell_length_b 3.8991
_cell_length_c 28.4533
_cell_angle_alpha 90.00
_cell_angle_beta 90.00
_cell_angle_gamma 120.00
_symmetry_space_group_name_H-M 'R -3 m'
_symmetry_Int_Tables_number 166
_symmetry_space_group_name_Hall '-R 3 2"'
loop_
_atom_site_label
_atom_site_type_symbol
_atom_site_fract_x
_atom_site_fract_y
_atom_site_fract_z
Sr1 Sr 0.0000 0.0000 0.2353
In1 In 0.0000 0.0000 0.0000
Rh1 Rh 0.0000 0.0000 0.5000
```

Record 6
DFT (PBE-GGA) results for crystalline Sr2InRh at its relaxed geometry.

```
data_Sr2InRh
_chemical_formula_sum 'Sr4 In2 Rh2'
_cell_length_a 4.9001
_cell_length_b 4.9001
_cell_length_c 8.8395
_cell_angle_alpha 90.00
_cell_angle_beta 90.00
_cell_angle_gamma 90.00
_symmetry_space_group_name_H-M 'I -4 m 2'
_symmetry_Int_Tables_number 119
_symmetry_space_group_name_Hall 'I -4 -2'
loop_
_atom_site_label
_atom_site_type_symbol
_atom_site_fract_x
_atom_site_fract_y
_atom_site_fract_z
Sr1 Sr 0.0000 0.0000 0.0000
Sr2 Sr 0.0000 0.5000 0.2500
In1 In 0.0000 0.5000 0.7500
Rh1 Rh 0.0000 0.0000 0.5000
```

Record 7
DFT (PBE-GGA) results for crystalline SrInRh2 at its relaxed geometry.

```
data_SrInRh2
_chemical_formula_sum 'Sr1 In1 Rh2'
_cell_length_a 4.7688
_cell_length_b 4.7688
_cell_length_c 3.4349
_cell_angle_alpha 90.00
_cell_angle_beta 90.00
_cell_angle_gamma 90.00
_symmetry_space_group_name_H-M 'P 4/m m m'
_symmetry_Int_Tables_number 123
_symmetry_space_group_name_Hall '-P 4 2'
loop_
_atom_site_label
_atom_site_type_symbol
_atom_site_fract_x
_atom_site_fract_y
_atom_site_fract_z
Sr1 Sr 0.0000 0.0000 0.0000
In1 In 0.5000 0.5000 0.0000
Rh1 Rh 0.0000 0.5000 0.5000
```

Record 8
DFT (PBE-GGA) results for crystalline SrInRh2 at its relaxed geometry.

```
data_SrInRh2
_chemical_formula_sum 'Sr2 In2 Rh4'
_cell_length_a 3.1911
_cell_length_b 4.7828
_cell_length_c 10.5514
_cell_angle_alpha 90.00
_cell_angle_beta 90.00
_cell_angle_gamma 90.00
_symmetry_space_group_name_H-M 'I m m 2'
_symmetry_Int_Tables_number 44
loop_
_symmetry_equiv_pos_as_xyz
'x,y,z'
'-x,-y,z'
'-x,y,z'
'x,-y,z'
'x+1/2,y+1/2,z+1/2'
'-x+1/2,-y+1/2,z+1/2'
'-x+1/2,y+1/2,z+1/2'
'x+1/2,-y+1/2,z+1/2'
loop_
_atom_site_label
_atom_site_type_symbol
_atom_site_fract_x
_atom_site_fract_y
_atom_site_fract_z
Sr1 Sr 0.0000 0.0000 0.0000
In1 In 0.0000 0.5000 0.7850
Rh1 Rh 0.0000 0.0000 0.5114
Rh2 Rh 0.0000 0.5000 0.2266
```

| no. | E (eV per atom) | DFT formation energy (kcal/mol of atoms) |
| --- | --- | --- |
| 1 | -4.771 | -8.24 |
| 2 | -3.830 | -8.05 |
| 3 | -5.112 | -7.63 |
| 4 | -3.707 | -9.54 |
| 5 | -3.422 | -1.35 |
| 6 | -3.437 | -1.69 |
| 7 | -4.993 | -4.90 |
| 8 | -4.916 | -3.12 |